--- w ---
Li2MgRh2 | PBE | relaxed

Summary:
As for the volume: 14.090 A^3/atom.

Cell lengths 8.1483, 8.1483, 8.1483 Å; angles 158.84, 158.84, 30.10 degrees
With the nearest neighbours (Å) after each atom.
Element x y z (fractional)
Li1 0.2008 0.2008 0.0000  4 Rh 2.56, 4 Li 2.62
Li2 0.7992 0.7992 0.0000  4 Rh 2.56, 4 Li 2.62
Mg1 0.0000 0.0000 0.0000  8 Rh 2.72, 4 Mg 2.99
Rh1 0.3912 0.3912 0.0000  4 Li 2.56, 4 Mg 2.72
Rh2 0.6088 0.6088 0.0000  4 Li 2.56, 4 Mg 2.72

---

--- x ---
Li2MgRh2 | PBE | relaxed

Summary:
As for the volume: 14.594 A^3/atom.

Cell lengths 6.9890, 6.9890, 2.9879 Å; angles 90.00, 90.00, 90.00 degrees
With the nearest neighbours (Å) after each atom.
Element x y z (fractional)
Li1 0.1646 0.3354 0.0000  6 Rh 2.52-2.56
Li2 0.3354 0.8354 0.0000  6 Rh 2.52-2.56
Li3 0.6646 0.1646 0.0000  6 Rh 2.52-2.56
Li4 0.8354 0.6646 0.0000  6 Rh 2.52-2.56
Mg1 0.0000 0.0000 0.5000  4 Rh 2.74, 2 Mg 2.99, 8 Li 3.01
Mg2 0.5000 0.5000 0.5000  4 Rh 2.74, 2 Mg 2.99, 8 Li 3.01
Rh1 0.1306 0.6306 0.5000  6 Li 2.52-2.56, 1 Rh 2.58, 2 Mg 2.74
Rh2 0.3694 0.1306 0.5000  6 Li 2.52-2.56, 1 Rh 2.58, 2 Mg 2.74
Rh3 0.6306 0.8694 0.5000  6 Li 2.52-2.56, 1 Rh 2.58, 2 Mg 2.74
Rh4 0.8694 0.3694 0.5000  6 Li 2.52-2.56, 1 Rh 2.58, 2 Mg 2.74

---

It comes down to w, which is 116 meV per atom more stable than the next structure.

---

--- w ---
LiMgRh | PBE | relaxed

Summary:
As for the volume: 16.268 A^3/atom.

Cell lengths 2.8945, 2.8945, 6.7262 Å; angles 90.00, 90.00, 120.00 degrees
With the nearest neighbours (Å) after each atom.
Element x y z (fractional)
Li1 0.0000 0.0000 0.0000  3 Rh 2.61, 6 Li 2.89
Mg1 0.6667 0.3333 0.3955  3 Rh 2.65, 6 Mg 2.89
Rh1 0.3333 0.6667 0.7013  3 Li 2.61, 3 Mg 2.65, 6 Rh 2.89

---

--- x ---
LiMgRh | PBE | relaxed

Summary:
As for the volume: 14.703 A^3/atom.

Cell lengths 4.3068, 4.3068, 5.4914 Å; angles 90.00, 90.00, 120.00 degrees
With the nearest neighbours (Å) after each atom.
Element x y z (fractional)
Li1 0.3333 0.6667 0.2500  5 Rh 2.49-2.75
Li2 0.6667 0.3333 0.7500  5 Rh 2.49-2.75
Mg1 0.0000 0.0000 0.0000  2 Mg 2.75, 6 Li 2.84, 6 Rh 2.84
Mg2 0.0000 0.0000 0.5000  2 Mg 2.75, 6 Li 2.84, 6 Rh 2.84
Rh1 0.3333 0.6667 0.7500  5 Li 2.49-2.75
Rh2 0.6667 0.3333 0.2500  5 Li 2.49-2.75

---

--- y ---
LiMgRh | PBE | relaxed

Summary:
As for the volume: 16.285 A^3/atom.

Cell lengths 7.1892, 6.9502, 2.8206 Å; angles 83.30, 73.77, 22.93 degrees
With the nearest neighbours (Å) after each atom.
Element x y z (fractional)
Li1 0.0000 0.0000 0.0000  2 Rh 2.53, 4 Li 2.82
Mg1 0.3039 0.3039 0.6961  2 Rh 2.58, 4 Mg 2.82
Rh1 0.6496 0.6496 0.3504  2 Li 2.53, 2 Mg 2.58, 4 Rh 2.82

---

It comes down to x, which is 93 meV per atom more stable than the next structure.

---

--- w ---
LiMgRh | PBE | relaxed

Summary:
As for the volume: 18.833 A^3/atom.

Cell lengths 2.8601, 4.4280, 4.4612 Å; angles 90.00, 90.00, 90.00 degrees
With the nearest neighbours (Å) after each atom.
Element x y z (fractional)
Li1 0.0000 0.0000 0.0000  4 Rh 2.65, 2 Li 2.86
Mg1 0.0000 0.5000 0.5000  4 Rh 2.64, 2 Mg 2.86
Rh1 0.5000 0.0000 0.5000  4 Mg 2.64, 4 Li 2.65, 2 Rh 2.86

---

--- x ---
LiMgRh | PBE | relaxed

Summary:
As for the volume: 15.242 A^3/atom.

Cell lengths 4.4705, 4.4705, 5.2855 Å; angles 90.09, 90.09, 59.97 degrees
With the nearest neighbours (Å) after each atom.
Element x y z (fractional)
Li1 0.9996 0.9996 0.2193  1 Li 2.32
Li2 0.0004 0.0004 0.7807  1 Li 2.32
Mg1 0.3333 0.3333 0.3669  5 Rh 2.60-2.88, 3 Li 2.69-2.70
Mg2 0.6667 0.6667 0.6331  5 Rh 2.60-2.88, 3 Li 2.69-2.70
Rh1 0.3337 0.3337 0.8747  5 Mg 2.60-2.88, 3 Li 2.63, 3 Rh 2.89-2.90
Rh2 0.6663 0.6663 0.1253  5 Mg 2.60-2.88, 3 Li 2.63, 3 Rh 2.89-2.90

---

--- y ---
LiMgRh | PBE | relaxed

Summary:
As for the volume: 18.363 A^3/atom.

Cell lengths 4.2710, 4.2710, 4.2710 Å; angles 60.00, 60.00, 60.00 degrees
With the nearest neighbours (Å) after each atom.
Element x y z (fractional)
Li1 0.0000 0.0000 0.0000  4 Rh 2.62
Mg1 0.5000 0.5000 0.5000  4 Rh 2.62
Rh1 0.2500 0.2500 0.2500  4 Mg 2.62, 4 Li 2.62

---

--- z ---
LiMgRh | PBE | relaxed

Summary:
As for the volume: 15.013 A^3/atom.

Cell lengths 4.2819, 4.2819, 2.8365 Å; angles 90.00, 90.00, 120.00 degrees
With the nearest neighbours (Å) after each atom.
Element x y z (fractional)
Li1 0.0000 0.0000 0.0000  3 Rh 2.56, 3 Mg 2.67, 2 Li 2.84
Mg1 0.3333 0.6667 0.3534  3 Li 2.67, 6 Rh 2.74-2.98, 2 Mg 2.84
Rh1 0.6667 0.3333 0.7698  3 Li 2.56, 3 Mg 2.74, 2 Rh 2.84

---

It comes down to z, which is 28 meV per atom more stable than the next structure.

---

--- w ---
Li8MgRh2 | PBE | relaxed

Summary:
As for the volume: 19.181 A^3/atom.

Cell lengths 6.8354, 6.8354, 4.5687 Å; angles 96.18, 96.18, 89.59 degrees
With the nearest neighbours (Å) after each atom.
Element x y z (fractional)
Li1 0.0902 0.0902 0.3061  2 Li 2.47-2.67, 1 Rh 2.61
Li2 0.1070 0.5992 0.3130  1 Rh 2.46, 1 Li 2.72
Li3 0.2326 0.2326 0.9019  3 Li 2.47-2.72, 2 Rh 2.52-2.66, 1 Mg 2.56
Li4 0.4008 0.8930 0.6870  1 Rh 2.46, 1 Li 2.72
Li5 0.5992 0.1070 0.3130  1 Rh 2.46, 1 Li 2.72
Li6 0.7674 0.7674 0.0981  3 Li 2.47-2.72, 2 Rh 2.52-2.66, 1 Mg 2.56
Li7 0.8930 0.4008 0.6870  1 Rh 2.46, 1 Li 2.72
Li8 0.9098 0.9098 0.6939  2 Li 2.47-2.67, 1 Rh 2.61
Mg1 0.5000 0.5000 0.0000  2 Li 2.56, 4 Rh 2.63-2.67
Rh1 0.3601 0.3601 0.4603  5 Li 2.46-2.66, 2 Mg 2.63-2.67, 1 Rh 2.68
Rh2 0.6399 0.6399 0.5397  5 Li 2.46-2.66, 2 Mg 2.63-2.67, 1 Rh 2.68

---

--- x ---
Li8MgRh2 | PBE | relaxed

Summary:
As for the volume: 16.598 A^3/atom.

Cell lengths 7.6875, 7.6875, 5.0331 Å; angles 96.96, 96.96, 38.24 degrees
With the nearest neighbours (Å) after each atom.
Element x y z (fractional)
Li1 0.1470 0.6549 0.9693  2 Li 2.48-2.56, 2 Rh 2.57-2.60
Li2 0.2145 0.2145 0.5856  2 Rh 2.52-2.66, 1 Li 2.76
Li3 0.3451 0.8530 0.0307  2 Li 2.48-2.56, 2 Rh 2.57-2.60
Li4 0.3943 0.3943 0.4610  1 Rh 2.58, 5 Li 2.76-2.85
Li5 0.6057 0.6057 0.5390  1 Rh 2.58, 5 Li 2.76-2.85
Li6 0.6549 0.1470 0.9693  2 Li 2.48-2.56, 2 Rh 2.57-2.60
Li7 0.7855 0.7855 0.4144  2 Rh 2.52-2.66, 1 Li 2.76
Li8 0.8530 0.3451 0.0307  2 Li 2.48-2.56, 2 Rh 2.57-2.60
Mg1 0.0000 0.0000 0.5000  14 Li 2.94-3.17
Rh1 0.2557 0.2557 0.0866  7 Li 2.52-2.66, 2 Rh 2.66
Rh2 0.7443 0.7443 0.9134  7 Li 2.52-2.66, 2 Rh 2.66

---

It comes down to x, which is 83 meV per atom more stable than the next structure.

---

--- w ---
Li3MgRh | PBE | relaxed

Summary:
As for the volume: 18.955 A^3/atom.

Cell lengths 5.3360, 4.7239, 7.9731 Å; angles 90.00, 109.41, 90.00 degrees
With the nearest neighbours (Å) after each atom.
Element x y z (fractional)
Li1 0.0000 0.0000 0.0000  2 Li 2.36
Li2 0.0000 0.5000 0.0000  2 Li 2.36
Li3 0.1290 0.2500 0.7146  1 Li 2.43, 1 Rh 2.57
Li4 0.4144 0.7500 0.2848  1 Li 2.43, 1 Rh 2.56
Li5 0.5856 0.2500 0.7152  1 Li 2.43, 1 Rh 2.56
Li6 0.8710 0.7500 0.2854  1 Li 2.43, 1 Rh 2.57
Mg1 0.1904 0.2500 0.3824  4 Rh 2.69-2.74, 6 Li 2.78-2.87
Mg2 0.8096 0.7500 0.6176  4 Rh 2.69-2.74, 6 Li 2.78-2.87
Rh1 0.2843 0.7500 0.5664  2 Li 2.56-2.57, 4 Mg 2.69-2.74
Rh2 0.7157 0.2500 0.4336  2 Li 2.56-2.57, 4 Mg 2.69-2.74

---

--- x ---
Li3MgRh | PBE | relaxed

Summary:
As for the volume: 17.920 A^3/atom.

Cell lengths 3.0521, 8.7811, 6.8540 Å; angles 90.00, 102.70, 90.00 degrees
With the nearest neighbours (Å) after each atom.
Element x y z (fractional)
Li1 0.1659 0.0076 0.3301  2 Rh 2.63, 4 Li 2.73-2.74, 1 Mg 2.84
Li2 0.1659 0.4924 0.3301  2 Rh 2.63, 4 Li 2.73-2.74, 1 Mg 2.84
Li3 0.3334 0.2500 0.6682  2 Rh 2.49-2.50, 4 Li 2.73
Li4 0.6666 0.7500 0.3318  2 Rh 2.49-2.50, 4 Li 2.73
Li5 0.8341 0.5076 0.6699  2 Rh 2.63, 4 Li 2.73-2.74, 1 Mg 2.84
Li6 0.8341 0.9924 0.6699  2 Rh 2.63, 4 Li 2.73-2.74, 1 Mg 2.84
Mg1 0.0258 0.2500 0.0500  2 Rh 2.64-2.65, 2 Li 2.84
Mg2 0.9742 0.7500 0.9500  2 Rh 2.64-2.65, 2 Li 2.84
Rh1 0.3133 0.7500 0.6273  6 Li 2.49-2.63, 2 Mg 2.64-2.65
Rh2 0.6867 0.2500 0.3727  6 Li 2.49-2.63, 2 Mg 2.64-2.65

---

--- y ---
Li3MgRh | PBE | relaxed

Summary:
As for the volume: 19.635 A^3/atom.

Cell lengths 4.6132, 4.6132, 4.6132 Å; angles 90.00, 90.00, 90.00 degrees
With the nearest neighbours (Å) after each atom.
Element x y z (fractional)
Li1 0.0000 0.0000 0.5000  2 Rh 2.31
Li2 0.0000 0.5000 0.0000  2 Rh 2.31
Li3 0.5000 0.0000 0.0000  2 Rh 2.31
Mg1 0.5000 0.5000 0.5000  12 Li 3.26
Rh1 0.0000 0.0000 0.0000  6 Li 2.31

---

It comes down to x, which is 136 meV per atom more stable than the next structure.